(1)
Computed, not measured: a relaxed structure of NdGdZnIn at the PBE-GGA level of DFT.

Unit cell a=7.515 b=7.515 c=7.515 alpha=90.00 beta=90.00 gamma=90.00
Space group F-43m (No. 216)
One atom of each set of equivalent atoms:
Nd  0.000  0.000  0.000 (multiplicity 4)
Gd  0.000  0.000  0.500 (multiplicity 4)
Zn  0.250  0.250  0.250 (multiplicity 4)
In  0.250  0.250  0.750 (multiplicity 4)

Calculated values
Mass density (g/cm3): 7.5
Crystal system: cubic
Final energy (eV per atom): -6.1160

=====

(2)
Computed, not measured: a relaxed structure of HgPRh2 at the PBE-GGA level of DFT.

Unit cell a=3.021 b=3.180 c=13.938 alpha=90.00 beta=90.00 gamma=90.00
Space group Imm2 (No. 44)
One atom of each set of equivalent atoms:
Hg  0.000  0.000  0.000 (multiplicity 2)
P  0.000  0.500  0.756 (multiplicity 2)
Rh  0.000  0.000  0.641 (multiplicity 2)
Rh  0.000  0.500  0.323 (multiplicity 2)

Calculated values
Mass density (g/cm3): 10.8
Crystal system: orthorhombic
Final energy (eV per atom): -5.4004

=====

(3)
Computed, not measured: a relaxed structure of Mg2CdAs2 at the PBE-GGA level of DFT.

Unit cell a=8.136 b=8.136 c=3.129 alpha=90.00 beta=90.00 gamma=90.00
Space group P4/mbm (No. 127)
One atom of each set of equivalent atoms:
Mg  0.141  0.359  0.000 (multiplicity 4)
Cd  0.000  0.000  0.500 (multiplicity 2)
As  0.157  0.657  0.500 (multiplicity 4)

Calculated values
Mass density (g/cm3): 5.0
Crystal system: tetragonal
Relative energy among the computed polymorphs (meV/atom): 39

=====

(4)
Computed, not measured: a relaxed structure of HoTcH5 at the PBE-GGA level of DFT.

Unit cell a=5.309 b=6.979 c=3.715 alpha=90.00 beta=90.00 gamma=90.00
Space group Imm2 (No. 44)
One atom of each set of equivalent atoms:
Ho  0.000  0.000  0.000 (multiplicity 2)
Tc  0.000  0.500  0.972 (multiplicity 2)
H  0.000  0.283  0.778 (multiplicity 4)
H  0.000  0.500  0.485 (multiplicity 2)
H  0.180  0.000  0.496 (multiplicity 4)

Calculated values
Mass density (g/cm3): 6.5
Crystal system: orthorhombic
Final energy (eV per atom): -4.6345

=====

(5)
Computed, not measured: a relaxed structure of NaTiHg2S4 at the PBE-GGA level of DFT.

Unit cell a=6.156 b=6.156 c=11.170 alpha=90.00 beta=90.00 gamma=90.00
Space group I-42m (No. 121)
One atom of each set of equivalent atoms:
Na  0.000  0.000  0.000 (multiplicity 2)
Ti  0.000  0.000  0.500 (multiplicity 2)
Hg  0.000  0.500  0.250 (multiplicity 4)
S  0.218  0.218  0.384 (multiplicity 8)

Calculated values
Mass density (g/cm3): 4.7
Crystal system: tetragonal
Formation energy (no corrections) (meV/atom): -666.2

=====

(6)
Computed, not measured: a relaxed structure of CrCdNi2 at the PBE-GGA level of DFT.

Unit cell a=6.098 b=6.098 c=6.098 alpha=90.00 beta=90.00 gamma=90.00
Space group F-43m (No. 216)
One atom of each set of equivalent atoms:
Cr  0.000  0.000  0.000 (multiplicity 4)
Cd  0.250  0.250  0.750 (multiplicity 4)
Ni  0.000  0.000  0.500 (multiplicity 4)
Ni  0.250  0.250  0.250 (multiplicity 4)

Calculated values
Mass density (g/cm3): 8.3
Crystal system: cubic
Final energy (eV per atom): -5.1819

=====

(7)
Computed, not measured: a relaxed structure of GdThFeTc at the PBE-GGA level of DFT.

Unit cell a=6.965 b=6.965 c=6.965 alpha=90.00 beta=90.00 gamma=90.00
Space group F-43m (No. 216)
One atom of each set of equivalent atoms:
Gd  0.000  0.000  0.000 (multiplicity 4)
Th  0.000  0.000  0.500 (multiplicity 4)
Fe  0.250  0.250  0.250 (multiplicity 4)
Tc  0.250  0.250  0.750 (multiplicity 4)

Calculated values
Mass density (g/cm3): 10.7
Crystal system: cubic
Final energy (eV per atom): -9.9996

=====

(8)
Computed, not measured: a relaxed structure of CsS2ClO at the PBE-GGA level of DFT.

Unit cell a=4.247 b=4.247 c=7.671 alpha=90.00 beta=90.00 gamma=90.00
Space group P4/mmm (No. 123)
One atom of each set of equivalent atoms:
Cs  0.000  0.000  0.000 (multiplicity 1)
S  0.000  0.500  0.500 (multiplicity 2)
Cl  0.500  0.500  0.000 (multiplicity 1)
O  0.500  0.500  0.500 (multiplicity 1)

Calculated values
Mass density (g/cm3): 3.0
Crystal system: tetragonal
Formation energy (no corrections) (meV/atom): 43.1

=====

(9)
Computed, not measured: a relaxed structure of Al2Ag4Au5 at the PBE-GGA level of DFT.

Unit cell a=7.362 b=17.658 c=2.962 alpha=90.00 beta=90.00 gamma=90.00
Space group Pbam (No. 55)
One atom of each set of equivalent atoms:
Al  0.055  0.188  0.000 (multiplicity 4)
Ag  0.057  0.649  0.000 (multiplicity 4)
Ag  0.206  0.928  0.000 (multiplicity 4)
Au  0.000  0.500  0.500 (multiplicity 2)
Au  0.143  0.070  0.500 (multiplicity 4)
Au  0.242  0.781  0.500 (multiplicity 4)

Calculated values
Mass density (g/cm3): 12.7
Crystal system: orthorhombic
Final energy (eV per atom): -3.3931

=====

(10)
Computed, not measured: a relaxed structure of HfBe2H at the PBE-GGA level of DFT.

Unit cell a=5.724 b=5.724 c=5.724 alpha=90.00 beta=90.00 gamma=90.00
Space group Fm-3m (No. 225)
One atom of each set of equivalent atoms:
Hf  0.000  0.000  0.000 (multiplicity 4)
Be  0.250  0.250  0.250 (multiplicity 8)
H  0.000  0.000  0.500 (multiplicity 4)

Calculated values
Mass density (g/cm3): 7.0
Crystal system: cubic
Relative energy among the computed polymorphs (meV/atom): 702

=====

(11)
Computed, not measured: a relaxed structure of Sm2HgBr at the PBE-GGA level of DFT.

Unit cell a=3.7544 b=3.7544 c=27.7752 alpha=90.00 beta=90.00 gamma=120.00
Space group R3m (No. 160, hexagonal axes)
One atom of each set of equivalent atoms:
Sm  0.0000  0.0000  0.0000 (multiplicity 3)
Sm  0.0000  0.0000  0.1650 (multiplicity 3)
Hg  0.0000  0.0000  0.5825 (multiplicity 3)
Br  0.0000  0.0000  0.7494 (multiplicity 3)

Calculated values
Mass density (g/cm3): 8.5
Crystal system: trigonal
Formation energy (no corrections) (meV/atom): -757.4
Relative energy among the computed polymorphs (meV/atom): 0